## NaPu3Hg4 (PBE)

Data for a geometry-optimized NaPu3Hg4 structure.

- DFT total energy: -5.831 eV/atom

Cell: 3.2572 3.2572 18.7829 Å, 90.00 90.00 90.00°
Space group P4/mmm (No. 123)
Asymmetric unit:
Na 0.0000 0.0000 0.0000 [1 per cell]
Pu 0.0000 0.0000 0.2480 [2 per cell]
Pu 0.0000 0.0000 0.5000 [1 per cell]
Hg 0.5000 0.5000 0.1218 [2 per cell]
Hg 0.5000 0.5000 0.3737 [2 per cell]